{
  "formula": "Rh17S15",
  "functional": "PBE",
  "state": "relaxed",
  "sg": "Pm-3m (221)",
  "raw_formation_energy_ev_per_fu": -13.68,
  "magmom_total_mub_per_atom": 0.00,
  "lattice": [[-1.901, -7.118, 6.765], [7.729, 3.166, 5.503], [-6.058, 6.273, 4.898]],
  "species": ["Rh", "Rh", "Rh", "Rh", "Rh", "Rh", "Rh", "Rh", "Rh", "Rh", "Rh", "Rh", "Rh", "Rh", "Rh", "Rh", "Rh", "Rh", "Rh", "Rh", "Rh", "Rh", "Rh", "Rh", "Rh", "Rh", "Rh", "Rh", "Rh", "Rh", "Rh", "Rh", "Rh", "Rh", "S", "S", "S", "S", "S", "S", "S", "S", "S", "S", "S", "S", "S", "S", "S", "S", "S", "S", "S", "S", "S", "S", "S", "S", "S", "S", "S", "S", "S", "S"],
  "fractional_positions": [[0.643, 0.357, 0.858], [0.142, 0.643, 0.643], [0.643, 0.858, 0.357], [0.858, 0.643, 0.357], [0.643, 0.858, 0.643], [0.643, 0.142, 0.643], [0.357, 0.858, 0.643], [0.643, 0.142, 0.357], [0.000, 0.000, 0.238], [0.500, 0.000, 0.000], [0.858, 0.643, 0.643], [0.858, 0.357, 0.643], [0.643, 0.643, 0.858], [0.000, 0.000, 0.500], [0.357, 0.643, 0.142], [0.000, 0.000, 0.762], [0.357, 0.643, 0.858], [0.357, 0.357, 0.858], [0.357, 0.142, 0.357], [0.142, 0.357, 0.643], [0.643, 0.643, 0.142], [0.858, 0.357, 0.357], [0.500, 0.500, 0.500], [0.357, 0.858, 0.357], [0.142, 0.357, 0.357], [0.000, 0.238, 0.000], [0.142, 0.643, 0.357], [0.238, 0.000, 0.000], [0.357, 0.142, 0.643], [0.762, 0.000, 0.000], [0.000, 0.762, 0.000], [0.643, 0.357, 0.142], [0.357, 0.357, 0.142], [0.000, 0.500, 0.000], [0.169, 0.831, 0.500], [0.169, 0.169, 0.500], [0.500, 0.831, 0.831], [0.169, 0.500, 0.169], [0.500, 0.500, 0.737], [0.000, 0.229, 0.229], [0.263, 0.500, 0.500], [0.737, 0.500, 0.500], [0.229, 0.000, 0.229], [0.831, 0.500, 0.169], [0.000, 0.771, 0.229], [0.771, 0.229, 0.000], [0.831, 0.831, 0.500], [0.169, 0.500, 0.831], [0.000, 0.771, 0.771], [0.000, 0.229, 0.771], [0.771, 0.771, 0.000], [0.771, 0.000, 0.771], [0.500, 0.737, 0.500], [0.500, 0.169, 0.831], [0.500, 0.831, 0.169], [0.831, 0.500, 0.831], [0.771, 0.000, 0.229], [0.229, 0.000, 0.771], [0.229, 0.771, 0.000], [0.229, 0.229, 0.000], [0.500, 0.500, 0.263], [0.500, 0.169, 0.169], [0.500, 0.263, 0.500], [0.831, 0.169, 0.500]]
}



{
  "formula": "RhS",
  "functional": "PBE",
  "state": "relaxed",
  "sg": "Pm-3n (223)",
  "raw_formation_energy_ev_per_fu": -0.15,
  "magmom_total_mub_per_atom": 0.00,
  "lattice": [[-5.273, 2.744, -2.582], [-1.052, -5.337, -3.523], [-3.617, -2.447, 4.788]],
  "species": ["Rh", "Rh", "Rh", "Rh", "Rh", "Rh", "S", "S", "S", "S", "S", "S"],
  "fractional_positions": [[0.000, 0.500, 0.750], [0.500, 0.750, 0.000], [0.500, 0.250, 0.000], [0.750, 0.000, 0.500], [0.250, 0.000, 0.500], [0.000, 0.500, 0.250], [0.000, 0.250, 0.500], [0.250, 0.500, 0.000], [0.500, 0.000, 0.750], [0.750, 0.500, 0.000], [0.000, 0.750, 0.500], [0.500, 0.000, 0.250]]
}



{
  "formula": "RhS",
  "functional": "PBE",
  "state": "relaxed",
  "sg": "P6_3/m (176)",
  "raw_formation_energy_ev_per_fu": -0.63,
  "magmom_total_mub_per_atom": 0.00,
  "lattice": [[-0.020, -1.883, -8.610], [3.968, -5.436, 5.691], [-3.269, -1.935, 0.431]],
  "species": ["S", "S", "S", "S", "S", "S", "Rh", "Rh", "Rh", "Rh", "Rh", "Rh"],
  "fractional_positions": [[0.111, 0.396, 0.750], [0.604, 0.715, 0.750], [0.285, 0.889, 0.750], [0.715, 0.111, 0.250], [0.889, 0.604, 0.250], [0.396, 0.285, 0.250], [0.957, 0.377, 0.250], [0.043, 0.623, 0.750], [0.420, 0.043, 0.250], [0.580, 0.957, 0.750], [0.623, 0.580, 0.250], [0.377, 0.420, 0.750]]
}



{
  "formula": "RhS",
  "functional": "PBE",
  "state": "relaxed",
  "sg": "P4_2/mnm (136)",
  "raw_formation_energy_ev_per_fu": -0.67,
  "magmom_total_mub_per_atom": 0.00,
  "lattice": [[6.776, 0.000, 0.000], [0.000, 6.776, 0.000], [0.000, 0.000, 3.293]],
  "species": ["S", "S", "S", "S", "Rh", "Rh", "Rh", "Rh"],
  "fractional_positions": [[0.196, 0.196, 0.500], [0.696, 0.304, 0.000], [0.804, 0.804, 0.500], [0.304, 0.696, 0.000], [0.860, 0.140, 0.500], [0.140, 0.860, 0.500], [0.360, 0.360, 0.000], [0.640, 0.640, 0.000]]
}



{
  "formula": "RhS",
  "functional": "PBE",
  "state": "relaxed",
  "sg": "P2_1/m (11)",
  "raw_formation_energy_ev_per_fu": -0.50,
  "magmom_total_mub_per_atom": 0.00,
  "lattice": [[-1.551, -3.422, -1.127], [3.599, -1.457, -0.529], [0.113, -1.442, 4.737]],
  "species": ["Rh", "Rh", "S", "S"],
  "fractional_positions": [[0.249, 0.750, 0.999], [0.751, 0.250, 0.001], [0.261, 0.250, 0.260], [0.739, 0.750, 0.740]]
}



{
  "formula": "RhS",
  "functional": "PBE",
  "state": "relaxed",
  "sg": "I4/m (87)",
  "raw_formation_energy_ev_per_fu": -0.55,
  "magmom_total_mub_per_atom": 0.00,
  "lattice": [[-4.986, 8.178, -0.508], [-3.827, -2.850, -8.320], [-2.789, -1.587, 1.826]],
  "species": ["Rh", "Rh", "Rh", "Rh", "Rh", "Rh", "Rh", "Rh", "S", "S", "S", "S", "S", "S", "S", "S"],
  "fractional_positions": [[0.149, 0.283, 0.500], [0.283, 0.851, 0.500], [0.217, 0.649, 0.000], [0.649, 0.783, 0.000], [0.351, 0.217, 0.000], [0.717, 0.149, 0.500], [0.783, 0.351, 0.000], [0.851, 0.717, 0.500], [0.586, 0.208, 0.000], [0.414, 0.792, 0.000], [0.086, 0.708, 0.500], [0.708, 0.914, 0.500], [0.792, 0.586, 0.000], [0.914, 0.292, 0.500], [0.208, 0.414, 0.000], [0.292, 0.086, 0.500]]
}



{
  "formula": "RhS",
  "functional": "PBE",
  "state": "relaxed",
  "sg": "Pmmn (59)",
  "raw_formation_energy_ev_per_fu": -0.49,
  "magmom_total_mub_per_atom": 0.00,
  "lattice": [[3.630, 0.000, 0.000], [0.000, 5.206, 0.000], [0.000, 0.000, 12.098]],
  "species": ["Rh", "Rh", "Rh", "Rh", "Rh", "Rh", "S", "S", "S", "S", "S", "S"],
  "fractional_positions": [[0.000, 0.952, 0.166], [0.500, 0.491, 0.000], [0.500, 0.048, 0.334], [0.000, 0.509, 0.500], [0.500, 0.048, 0.666], [0.000, 0.952, 0.834], [0.000, 0.782, 0.649], [0.500, 0.218, 0.851], [0.000, 0.782, 0.351], [0.500, 0.218, 0.149], [0.500, 0.250, 0.500], [0.000, 0.750, 0.000]]
}



{
  "formula": "RhS4",
  "functional": "PBE",
  "state": "relaxed",
  "sg": "P2_1/c (14)",
  "raw_formation_energy_ev_per_fu": -1.03,
  "de_polymorph_ev_per_fu": 0.00,
  "magmom_total_mub_per_atom": 0.00,
  "lattice": [[4.689, 0.000, 0.000], [0.000, 6.853, -0.288], [0.000, 0.116, 6.580]],
  "species": ["S", "S", "S", "S", "S", "S", "S", "S", "Rh", "Rh"],
  "fractional_positions": [[0.167, 0.177, 0.716], [0.675, 0.258, 0.052], [0.333, 0.177, 0.216], [0.833, 0.823, 0.284], [0.667, 0.823, 0.784], [0.175, 0.742, 0.448], [0.325, 0.742, 0.948], [0.825, 0.258, 0.552], [0.000, 0.000, 0.000], [0.500, 0.000, 0.500]]
}



{
  "formula": "RhS",
  "functional": "PBE",
  "state": "relaxed",
  "sg": "P2_12_12_1 (19)",
  "raw_formation_energy_ev_per_fu": -0.43,
  "magmom_total_mub_per_atom": 0.00,
  "lattice": [[7.202, 0.000, 0.000], [0.000, 6.119, 0.000], [0.000, 0.000, 6.589]],
  "species": ["S", "S", "S", "S", "S", "S", "S", "S", "Rh", "Rh", "Rh", "Rh", "Rh", "Rh", "Rh", "Rh"],
  "fractional_positions": [[0.111, 0.423, 0.855], [0.584, 0.605, 0.845], [0.416, 0.105, 0.655], [0.611, 0.077, 0.145], [0.084, 0.895, 0.155], [0.389, 0.577, 0.355], [0.889, 0.923, 0.645], [0.916, 0.395, 0.345], [0.299, 0.654, 0.031], [0.860, 0.536, 0.664], [0.701, 0.154, 0.469], [0.140, 0.036, 0.836], [0.201, 0.346, 0.531], [0.640, 0.464, 0.164], [0.799, 0.846, 0.969], [0.360, 0.964, 0.336]]
}



{
  "formula": "RhS",
  "functional": "PBE",
  "state": "relaxed",
  "sg": "Fm-3m (225)",
  "raw_formation_energy_ev_per_fu": -0.15,
  "magmom_total_mub_per_atom": 0.00,
  "lattice": [[-1.541, -3.701, 2.884], [4.691, -1.271, 0.876], [0.086, 3.013, 3.912]],
  "species": ["Rh", "Rh", "Rh", "Rh", "S", "S", "S", "S"],
  "fractional_positions": [[0.000, 0.500, 0.000], [0.500, 0.500, 0.500], [0.500, 0.000, 0.000], [0.000, 0.000, 0.500], [0.500, 0.000, 0.500], [0.000, 0.000, 0.000], [0.000, 0.500, 0.500], [0.500, 0.500, 0.000]]
}



{
  "formula": "RhS",
  "functional": "PBE",
  "state": "relaxed",
  "sg": "P4/m (83)",
  "raw_formation_energy_ev_per_fu": -0.57,
  "magmom_total_mub_per_atom": 0.00,
  "lattice": [[-6.080, -0.435, -8.058], [-6.097, -6.361, 4.944], [-1.970, 2.921, 1.329]],
  "species": ["Rh", "Rh", "Rh", "Rh", "Rh", "Rh", "Rh", "Rh", "S", "S", "S", "S", "S", "S", "S", "S"],
  "fractional_positions": [[0.787, 0.393, 0.500], [0.117, 0.429, 0.000], [0.393, 0.213, 0.500], [0.429, 0.883, 0.000], [0.883, 0.571, 0.000], [0.213, 0.607, 0.500], [0.571, 0.117, 0.000], [0.607, 0.787, 0.500], [0.628, 0.237, 0.500], [0.763, 0.628, 0.500], [0.237, 0.372, 0.500], [0.908, 0.342, 0.000], [0.658, 0.908, 0.000], [0.372, 0.763, 0.500], [0.092, 0.658, 0.000], [0.342, 0.092, 0.000]]
}



{
  "formula": "RhS",
  "functional": "PBE",
  "state": "relaxed",
  "sg": "I-43m (217)",
  "raw_formation_energy_ev_per_fu": -0.36,
  "magmom_total_mub_per_atom": 0.00,
  "lattice": [[7.149, 0.000, 0.000], [0.000, 7.149, 0.000], [0.000, 0.000, 7.149]],
  "species": ["S", "S", "S", "S", "S", "S", "S", "S", "Rh", "Rh", "Rh", "Rh", "Rh", "Rh", "Rh", "Rh"],
  "fractional_positions": [[0.319, 0.319, 0.681], [0.181, 0.819, 0.819], [0.319, 0.681, 0.319], [0.681, 0.319, 0.319], [0.819, 0.819, 0.181], [0.181, 0.181, 0.181], [0.681, 0.681, 0.681], [0.819, 0.181, 0.819], [0.642, 0.358, 0.642], [0.142, 0.142, 0.858], [0.142, 0.858, 0.142], [0.358, 0.358, 0.358], [0.642, 0.642, 0.358], [0.358, 0.642, 0.642], [0.858, 0.858, 0.858], [0.858, 0.142, 0.142]]
}